This record from Alexandria describes an optimized crystal structure of MnIn3O. The functional is PBE+U.

a b c (Å): 5.1965 5.1965 5.1965
angles (deg): 90.00 90.00 90.00
Last column: nearest neighbours and their distance in Å.
Sites, in units of the cell vectors:
1 In 0.0000 0.5000 0.0000  2 Mn 2.60
2 O 0.5000 0.5000 0.5000  12 In 3.67
3 Mn 0.0000 0.0000 0.0000  6 In 2.60
4 In 0.0000 0.0000 0.5000  2 Mn 2.60
5 In 0.5000 0.0000 0.0000  2 Mn 2.60

Computed properties:
Energy above the most stable polymorph in this dataset: 0.7616 eV/atom
V: 28.1 Å³/atom